Arrangement one

MgCuSe (GGA-PBE, relaxed); DOS(E_F) = 0.270 states/eV/atom; total magnetic moment = 0.0 μB per cell; SG = No. 156
1.0
-3.328 0.980 -1.968
0.127 -3.353 2.156
-1.339 2.067 3.295
Cu Mg Se
1 1 1
direct
0.000 0.000 0.939 Cu
0.333 0.667 0.321 Mg
0.667 0.333 0.739 Se

=====

Arrangement two

MgCuSe (GGA-PBE, relaxed); DOS(E_F) = 0.311 states/eV/atom; total magnetic moment = 0.0 μB per cell; SG = No. 189
1.0
3.639 4.171 4.475
-6.620 -2.045 1.629
1.563 -3.484 1.976
Mg Cu Se
3 3 3
direct
0.000 0.000 0.500 Mg
0.333 0.667 0.000 Mg
0.667 0.333 0.000 Mg
0.430 0.000 0.500 Cu
0.000 0.430 0.500 Cu
0.570 0.570 0.500 Cu
0.278 0.000 0.000 Se
0.000 0.278 0.000 Se
0.722 0.722 0.000 Se

=====

Arrangement three

MgCuSe (GGA-PBE, relaxed); DOS(E_F) = 0.304 states/eV/atom; total magnetic moment = 0.0 μB per cell; SG = No. 194
1.0
2.145 -3.715 0.000
2.145 3.715 0.000
0.000 0.000 7.027
Mg Cu Se
2 2 2
direct
0.333 0.667 0.250 Mg
0.667 0.333 0.750 Mg
0.333 0.667 0.750 Cu
0.667 0.333 0.250 Cu
0.000 0.000 0.000 Se
0.000 0.000 0.500 Se

=====

Arrangement four

MgCuSe (GGA-PBE, relaxed); DOS(E_F) = 0.297 states/eV/atom; total magnetic moment = 0.0 μB per cell; SG = No. 62
1.0
-0.990 3.369 0.567
-6.204 -1.721 -0.604
-0.438 -1.701 9.336
Mg Cu Se
4 4 4
direct
0.250 0.201 0.645 Mg
0.750 0.299 0.145 Mg
0.750 0.799 0.355 Mg
0.250 0.701 0.855 Mg
0.250 0.112 0.947 Cu
0.750 0.388 0.447 Cu
0.750 0.888 0.053 Cu
0.250 0.612 0.553 Cu
0.250 0.129 0.342 Se
0.750 0.371 0.842 Se
0.750 0.871 0.658 Se
0.250 0.629 0.158 Se

=====

arrangement four is favored, and the nearest alternative lies 0.067 eV/atom above it.

=====

Arrangement one

Mg2CuSe4 (GGA-PBE, relaxed); DOS(E_F) = 0.563 states/eV/atom; total magnetic moment = 0.0 μB per cell; SG = No. 140
1.0
7.711 0.002 0.000
0.502 7.695 0.000
-4.107 -3.848 5.271
Mg Cu Se
4 2 8
direct
0.633 0.133 0.766 Mg
0.367 0.867 0.234 Mg
0.867 0.633 0.500 Mg
0.133 0.367 0.500 Mg
0.750 0.750 0.000 Cu
0.250 0.250 0.000 Cu
0.042 0.542 0.865 Se
0.677 0.177 0.135 Se
0.177 0.042 0.500 Se
0.542 0.677 0.500 Se
0.458 0.323 0.500 Se
0.823 0.958 0.500 Se
0.323 0.823 0.865 Se
0.958 0.458 0.135 Se

=====

Arrangement two

Mg2CuSe4 (GGA-PBE, relaxed); DOS(E_F) = 0.213 states/eV/atom; total magnetic moment = 0.0 μB per cell; SG = No. 139
1.0
-2.375 2.375 7.712
2.375 -2.375 7.712
2.375 2.375 -7.712
Mg Cu Se
2 1 4
direct
0.401 0.401 0.000 Mg
0.599 0.599 0.000 Mg
0.000 0.000 0.000 Cu
0.500 0.000 0.500 Se
0.000 0.500 0.500 Se
0.241 0.241 0.000 Se
0.759 0.759 0.000 Se

=====

Arrangement three

Mg2CuSe4 (GGA-PBE, relaxed); DOS(E_F) = 0.446 states/eV/atom; total magnetic moment = 0.0 μB per cell; SG = No. 87
1.0
5.671 1.992 -0.095
-2.198 2.771 4.860
-0.424 -5.990 0.268
Mg Cu Se
2 1 4
direct
0.750 0.250 0.500 Mg
0.250 0.750 0.500 Mg
0.000 0.000 0.000 Cu
0.305 0.802 0.107 Se
0.695 0.198 0.893 Se
0.198 0.305 0.503 Se
0.802 0.695 0.497 Se

=====

arrangement three is favored, and the nearest alternative lies 0.188 eV/atom above it.